! GGA-PBE ErScTlZn, optimized geometry; values from VASP
! D(E_F) (states/eV per cell): 2.9
! ΔE_f (eV/atom): -0.330
! Space group: P4mm
! Energy (eV per atom): -3.9634
&SYSTEM
  ibrav = 0, nat = 4, ntyp = 4
/
ATOMIC_SPECIES
Er 167.26 Er.upf
Sc 44.96 Sc.upf
Tl 204.38 Tl.upf
Zn 65.41 Zn.upf
ATOMIC_POSITIONS angstrom
Er 5.5828 2.1444 0.0967
Sc 2.5362 0.9742 0.0439
Tl 1.3410 -1.1247 2.0076
Zn 4.4586 0.0728 2.0616
CELL_PARAMETERS angstrom
-0.2192 0.4117 3.5239
1.2567 -3.2927 0.4628
6.6812 2.5663 0.1158